Tl2TcRuCl | PBE-GGA | relaxed

Cell: 5.479 5.479 4.551 Å, 90.00 90.00 90.00°
Space group P4/mmm (No. 123)
One atom of each set of equivalent atoms:
Tl 0.000 0.500 0.000 x2
Tc 0.000 0.000 0.000 x1
Ru 0.000 0.000 0.500 x1
Cl 0.500 0.500 0.500 x1

**Formation energy (no corrections)**: 674 meV per atom
**Total moment**: 1.308 μB per formula unit